# 1
Computed, not measured: an optimized crystal structure of BeFe4Ni at the PBE level of DFT.

Computed properties:
For the total energy, the calculation gives -167.4 eV for the cell shown. The energy relative to the elements is 0.2499 eV per atom.

Lattice parameters (Å, degrees): 6.505 6.505 6.505 90.00 90.00 90.00
Space group F-43m (No. 216)
Symmetry-distinct sites (fractional):
Be (0.000, 0.000, 0.000)
Fe (0.125, 0.125, 0.625)
Ni (0.250, 0.250, 0.250)



# 2
Computed, not measured: an optimized crystal structure of BeFe2Ni at the PBE level of DFT.

Computed properties:
For the total energy, the calculation gives -26.7 eV for the cell shown. The energy relative to the elements is -0.0788 eV per atom.

Lattice parameters (Å, degrees): 2.446 3.880 4.437 90.00 96.14 90.00
Space group Pm (No. 6)
Symmetry-distinct sites (fractional):
Be (0.000, 0.000, 0.000)
Fe (0.427, 0.000, 0.496)
Fe (0.609, 0.500, 0.202)
Ni (0.044, 0.500, 0.723)



# 3
Computed, not measured: an optimized crystal structure of Be2FeNi at the PBE level of DFT.

Computed properties:
For the total energy, the calculation gives -90.7 eV for the cell shown. The energy relative to the elements is -0.2456 eV per atom. As for the distance to the lowest polymorph of the same formula: 71 meV per atom.

Lattice parameters (Å, degrees): 5.214 5.214 5.214 90.00 90.00 90.00
Space group Fm-3m (No. 225)
Symmetry-distinct sites (fractional):
Be (0.250, 0.250, 0.250)
Fe (0.000, 0.000, 0.000)
Ni (0.000, 0.000, 0.500)



# 4
Computed, not measured: an optimized crystal structure of BeFeNi2 at the PBE level of DFT.

Computed properties:
For the total energy, the calculation gives -24.2 eV for the cell shown. The energy relative to the elements is -0.1114 eV per atom.

Lattice parameters (Å, degrees): 2.494 3.359 4.958 90.00 90.25 90.00
Space group Pm (No. 6)
Symmetry-distinct sites (fractional):
Be (0.000, 0.000, 0.000)
Fe (0.501, 0.500, 0.736)
Ni (0.000, 0.000, 0.487)
Ni (0.499, 0.500, 0.208)



# 5
Computed, not measured: an optimized crystal structure of BeFeNi2 at the PBE level of DFT.

Computed properties:
For the total energy, the calculation gives -96.3 eV for the cell shown. The energy relative to the elements is -0.0789 eV per atom.

Lattice parameters (Å, degrees): 5.483 5.483 5.483 90.00 90.00 90.00
Space group F-43m (No. 216)
Symmetry-distinct sites (fractional):
Be (0.000, 0.000, 0.000)
Fe (0.250, 0.250, 0.250)
Ni (0.000, 0.000, 0.500)
Ni (0.250, 0.250, 0.750)



# 6
Computed, not measured: an optimized crystal structure of BeFeNi2 at the PBE level of DFT.

Computed properties:
For the total energy, the calculation gives -72.7 eV for the cell shown. The energy relative to the elements is -0.1175 eV per atom.

Lattice parameters (Å, degrees): 2.4865 2.4865 23.1276 90.00 90.00 120.00
Space group R-3m (No. 166, hexagonal axes)
Symmetry-distinct sites (fractional):
Be (0.0000, 0.0000, 0.0000)
Fe (0.0000, 0.0000, 0.5000)
Ni (0.0000, 0.0000, 0.2567)



# 7
Computed, not measured: an optimized crystal structure of BeFeNi2 at the PBE level of DFT.

Computed properties:
For the total energy, the calculation gives -24.8 eV for the cell shown. The energy relative to the elements is -0.2498 eV per atom.

Lattice parameters (Å, degrees): 2.530 2.530 6.298 90.00 90.00 90.00
Space group P4/mmm (No. 123)
Symmetry-distinct sites (fractional):
Be (0.000, 0.000, 0.000)
Fe (0.000, 0.000, 0.500)
Ni (0.500, 0.500, 0.218)



# 8
Computed, not measured: an optimized crystal structure of Be2FeNi at the PBE level of DFT.

Computed properties:
For the total energy, the calculation gives -83.9 eV for the cell shown. The energy relative to the elements is 0.1818 eV per atom. As for the distance to the lowest polymorph of the same formula: 498 meV per atom.

Lattice parameters (Å, degrees): 5.828 5.828 4.734 90.00 90.00 90.00
Space group I-42d (No. 122)
Symmetry-distinct sites (fractional):
Be (0.240, 0.250, 0.125)
Fe (0.000, 0.000, 0.500)
Ni (0.000, 0.000, 0.000)



- What is the energy relative to the elements in the second record?
  -0.0788 eV per atom



Repeat the second record exactly.
Computed, not measured: an optimized crystal structure of BeFe2Ni at the PBE level of DFT.

Computed properties:
For the total energy, the calculation gives -26.7 eV for the cell shown. The energy relative to the elements is -0.0788 eV per atom.

Lattice parameters (Å, degrees): 2.446 3.880 4.437 90.00 96.14 90.00
Space group Pm (No. 6)
Symmetry-distinct sites (fractional):
Be (0.000, 0.000, 0.000)
Fe (0.427, 0.000, 0.496)
Fe (0.609, 0.500, 0.202)
Ni (0.044, 0.500, 0.723)